[1]
Compound: ZrPaTe2C
Source: Alexandria
Functional: PBE-GGA
Structure: relaxed

Cell lengths 4.0133, 4.0133, 14.3348 Å; angles 90.00, 90.00, 90.00 degrees
Space group P4/nmm (No. 129, origin choice 2)
One atom of each set of equivalent atoms:
Zr (0.2500, 0.2500, 0.0778) [2 per cell]
Pa (0.2500, 0.2500, 0.5810) [2 per cell]
Te (0.2500, 0.2500, 0.2947) [2 per cell]
Te (0.2500, 0.2500, 0.8695) [2 per cell]
C (0.2500, 0.7500, 0.5000) [2 per cell]

Results
Magnetization = 0.00 μB per formula unit
DOS at the Fermi energy = 4.01 states/eV/f.u.
E_form (uncorrected) = -0.7189 eV per atom


[2]
Compound: ZrPaTeC
Source: Alexandria
Functional: PBE-GGA
Structure: relaxed

Cell lengths 3.5911, 3.5911, 21.5791 Å; angles 90.00, 90.00, 120.00 degrees
Space group R3m (No. 160, hexagonal axes)
One atom of each set of equivalent atoms:
Zr (0.0000, 0.0000, 0.0000) [3 per cell]
Pa (0.0000, 0.0000, 0.2116) [3 per cell]
Te (0.0000, 0.0000, 0.4328) [3 per cell]
C (0.0000, 0.0000, 0.6106) [3 per cell]

Results
Magnetization = 0.65 μB per formula unit
DOS at the Fermi energy = 3.73 states/eV/f.u.
E_form (uncorrected) = -0.7171 eV per atom


[3]
Compound: ThPa3C4
Source: Alexandria
Functional: PBE-GGA
Structure: relaxed

Cell lengths 5.1494, 5.1494, 5.1494 Å; angles 90.00, 90.00, 90.00 degrees
Space group Pm-3m (No. 221)
One atom of each set of equivalent atoms:
Th (0.0000, 0.0000, 0.0000) [1 per cell]
Pa (0.0000, 0.5000, 0.5000) [3 per cell]
C (0.0000, 0.0000, 0.5000) [3 per cell]
C (0.5000, 0.5000, 0.5000) [1 per cell]

Results
Magnetization = 0.00 μB per formula unit
DOS at the Fermi energy = 4.90 states/eV/f.u.
Formation energy from the elements = -0.3735 eV per atom


[4]
Compound: Th2PaC3
Source: Alexandria
Functional: PBE-GGA
Structure: relaxed

Cell lengths 3.7136, 5.2555, 11.2013 Å; angles 90.00, 90.00, 90.00 degrees
Space group Immm (No. 71)
One atom of each set of equivalent atoms:
Th (0.0000, 0.0000, 0.1656) [4 per cell]
Pa (0.0000, 0.0000, 0.5000) [2 per cell]
C (0.0000, 0.5000, 0.1475) [4 per cell]
C (0.0000, 0.5000, 0.5000) [2 per cell]

Results
Magnetization = 0.00 μB per formula unit
Energy above the lowest structure with this stoichiometry = 0 meV per atom
DOS at the Fermi energy = 3.18 states/eV/f.u.
Formation energy from the elements = -0.3420 eV per atom


[5]
Compound: Th3PaC3
Source: Alexandria
Functional: PBE-GGA
Structure: relaxed

Cell lengths 7.7912, 7.7912, 5.4668 Å; angles 90.00, 90.00, 120.00 degrees
Space group P6_3/m (No. 176)
One atom of each set of equivalent atoms:
Th (0.0675, 0.7106, 0.2500) [6 per cell]
Pa (0.3333, 0.6667, 0.7500) [2 per cell]
C (0.0568, 0.7072, 0.7500) [6 per cell]

Results
Magnetization = 0.00 μB per formula unit
DOS at the Fermi energy = 3.66 states/eV/f.u.
Formation energy from the elements = -0.0817 eV per atom


[6]
Compound: ThPa2C
Source: Alexandria
Functional: PBE-GGA
Structure: relaxed

Cell lengths 3.1863, 3.1863, 8.3641 Å; angles 90.00, 90.00, 90.00 degrees
Space group P4/mmm (No. 123)
One atom of each set of equivalent atoms:
Th (0.0000, 0.0000, 0.0000) [1 per cell]
Pa (0.5000, 0.5000, 0.3308) [2 per cell]
C (0.0000, 0.0000, 0.5000) [1 per cell]

Results
Magnetization = 0.00 μB per formula unit
Energy above the lowest structure with this stoichiometry = 380 meV per atom
DOS at the Fermi energy = 6.23 states/eV/f.u.
Formation energy from the elements = 0.2050 eV per atom


[7]
Compound: Th3PaC
Source: Alexandria
Functional: PBE-GGA
Structure: relaxed

Cell lengths 5.0924, 5.0924, 5.0924 Å; angles 90.00, 90.00, 90.00 degrees
Space group Pm-3m (No. 221)
One atom of each set of equivalent atoms:
Th (0.0000, 0.0000, 0.5000) [3 per cell]
Pa (0.5000, 0.5000, 0.5000) [1 per cell]
C (0.0000, 0.0000, 0.0000) [1 per cell]

Results
Magnetization = 0.03 μB per formula unit
DOS at the Fermi energy = 10.43 states/eV/f.u.
Formation energy from the elements = 0.0776 eV per atom


[8]
Compound: ThPa2C
Source: Alexandria
Functional: PBE-GGA
Structure: relaxed

Cell lengths 3.4432, 3.4432, 26.0594 Å; angles 90.00, 90.00, 120.00 degrees
Space group R-3m (No. 166, hexagonal axes)
One atom of each set of equivalent atoms:
Th (0.0000, 0.0000, 0.0000) [3 per cell]
Pa (0.0000, 0.0000, 0.2230) [6 per cell]
C (0.0000, 0.0000, 0.5000) [3 per cell]

Results
Magnetization = 0.00 μB per formula unit
Energy above the lowest structure with this stoichiometry = 0 meV per atom
DOS at the Fermi energy = 5.36 states/eV/f.u.
Formation energy from the elements = -0.1753 eV per atom


[9]
Compound: Th5PaC5
Source: Alexandria
Functional: PBE-GGA
Structure: relaxed

Cell lengths 11.7816, 5.2965, 7.4320 Å; angles 90.00, 108.32, 90.00 degrees
Space group C2/m (No. 12)
One atom of each set of equivalent atoms:
Th (0.0000, 0.0000, 0.0000) [2 per cell]
Th (0.1684, 0.5000, 0.8279) [4 per cell]
Th (0.1701, 0.5000, 0.3380) [4 per cell]
Pa (0.0000, 0.0000, 0.5000) [2 per cell]
C (0.0000, 0.5000, 0.5000) [2 per cell]
C (0.1525, 0.0000, 0.8119) [4 per cell]
C (0.1658, 0.0000, 0.3413) [4 per cell]

Results
Magnetization = 0.00 μB per formula unit
DOS at the Fermi energy = 8.59 states/eV/f.u.
Formation energy from the elements = -0.2893 eV per atom


[10]
Compound: Th2PaC3
Source: Alexandria
Functional: PBE-GGA
Structure: relaxed

Cell lengths 6.4680, 11.1685, 6.4352 Å; angles 90.00, 109.51, 90.00 degrees
Space group C2/c (No. 15)
One atom of each set of equivalent atoms:
Th (0.0000, 0.0826, 0.2500) [4 per cell]
Th (0.0000, 0.2505, 0.7500) [4 per cell]
Pa (0.0000, 0.4180, 0.2500) [4 per cell]
C (0.2225, 0.4248, 0.0000) [8 per cell]
C (0.2500, 0.2500, 0.5000) [4 per cell]

Results
Magnetization = 0.00 μB per formula unit
Energy above the lowest structure with this stoichiometry = 7 meV per atom
DOS at the Fermi energy = 3.70 states/eV/f.u.
Formation energy from the elements = -0.3348 eV per atom


[11]
Compound: ThPa3C
Source: Alexandria
Functional: PBE-GGA
Structure: relaxed

Cell lengths 4.8912, 4.8912, 4.8912 Å; angles 90.00, 90.00, 90.00 degrees
Space group Pm-3m (No. 221)
One atom of each set of equivalent atoms:
Th (0.0000, 0.0000, 0.0000) [1 per cell]
Pa (0.0000, 0.5000, 0.5000) [3 per cell]
C (0.5000, 0.5000, 0.5000) [1 per cell]

Results
Magnetization = 0.00 μB per formula unit
DOS at the Fermi energy = 6.05 states/eV/f.u.
Formation energy from the elements = -0.0917 eV per atom


[12]
Compound: ThPa5C6
Source: Alexandria
Functional: PBE-GGA
Structure: relaxed

Cell lengths 6.2776, 10.8737, 6.2791 Å; angles 90.00, 109.39, 90.00 degrees
Space group C2/m (No. 12)
One atom of each set of equivalent atoms:
Th (0.0000, 0.0000, 0.0000) [2 per cell]
Pa (0.0000, 0.1655, 0.5000) [4 per cell]
Pa (0.0000, 0.3328, 0.0000) [4 per cell]
Pa (0.0000, 0.5000, 0.5000) [2 per cell]
C (0.2291, 0.5000, 0.2525) [4 per cell]
C (0.2373, 0.3242, 0.7389) [8 per cell]

Results
Magnetization = 0.00 μB per formula unit
DOS at the Fermi energy = 9.41 states/eV/f.u.
Formation energy from the elements = -0.4205 eV per atom


Repeat the second record exactly.
Compound: ZrPaTeC
Source: Alexandria
Functional: PBE-GGA
Structure: relaxed

Cell lengths 3.5911, 3.5911, 21.5791 Å; angles 90.00, 90.00, 120.00 degrees
Space group R3m (No. 160, hexagonal axes)
One atom of each set of equivalent atoms:
Zr (0.0000, 0.0000, 0.0000) [3 per cell]
Pa (0.0000, 0.0000, 0.2116) [3 per cell]
Te (0.0000, 0.0000, 0.4328) [3 per cell]
C (0.0000, 0.0000, 0.6106) [3 per cell]

Results
Magnetization = 0.65 μB per formula unit
DOS at the Fermi energy = 3.73 states/eV/f.u.
E_form (uncorrected) = -0.7171 eV per atom


- magnetization of number 10 (Th2PaC3)?
  0.00 μB per formula unit


- Number 7 is which compound?
  Th3PaC